Computed, not measured: a relaxed MgNpAu4 crystal at the GGA-PBE level of DFT.

The formation energy is -0.153 eV per atom. The crystal system is cubic.

The space group is F-43m (No. 216) and the conventional cell measures 7.925, 7.925 and 7.925 Å, with angles of 90.00, 90.00 and 90.00 degrees. The inequivalent atoms are Mg at (0.000, 0.000, 0.000), Np at (0.250, 0.250, 0.750) and Au at (0.126, 0.126, 0.374).

---

Computed, not measured: a relaxed CuTeRu crystal at the GGA-PBE level of DFT.

The formation energy from raw total energies comes out at 194 meV per atom. The crystal system is cubic.

The space group is F-43m (No. 216) and the conventional cell measures 6.064, 6.064 and 6.064 Å, with angles of 90.00, 90.00 and 90.00 degrees. The inequivalent atoms are Cu at (0.000, 0.000, 0.000), Te at (0.000, 0.000, 0.500) and Ru at (0.250, 0.250, 0.750).

---

Number 1: E above lowest polymorph 153 meV per atom, total magnetic moment 4.16 μB per formula unit. Number 2: E above lowest polymorph 150 meV per atom, total magnetic moment 0.00 μB per formula unit.